## Th2CuTcGe6 (PBE)

Data for a relaxed structure of Th2CuTcGe6.

- M_tot (Bohr magnetons per cell) = 0.0
- total DFT energy (no corrections) (eV per cell) = -118.46
- formation enthalpy at 0 K (eV per atom) = -0.223
- crystal system = orthorhombic
- SG = Pmmn
- D(E_F) (states/eV/f.u.) = 5.2

Cell: 5.867 8.708 8.184 Å, 90.00 90.00 90.00°
Fractional coordinates of all 20 atoms:
Th1 0.000 0.278 0.749
Th2 0.500 0.722 0.249
Th3 0.500 0.722 0.751
Th4 0.000 0.278 0.251
Ge1 0.500 0.149 0.788
Ge2 0.786 0.525 0.000
Ge3 0.000 0.851 0.712
Ge4 0.739 0.983 0.500
Ge5 0.714 0.475 0.500
Ge6 0.286 0.475 0.500
Ge7 0.214 0.525 0.000
Ge8 0.500 0.149 0.212
Ge9 0.000 0.851 0.288
Ge10 0.239 0.017 0.000
Ge11 0.761 0.017 0.000
Ge12 0.261 0.983 0.500
Tc1 0.500 0.225 0.500
Tc2 0.000 0.775 0.000
Cu1 0.500 0.343 0.000
Cu2 0.000 0.657 0.500

## ThCuTcGe2 (PBE)

Data for a relaxed structure of ThCuTcGe2.

- M_tot (Bohr magnetons per cell) = 0.0
- total DFT energy (no corrections) (eV per cell) = -33.08
- formation enthalpy at 0 K (eV per atom) = -0.392
- crystal system = tetragonal
- SG = I-4m2
- D(E_F) (states/eV/f.u.) = 3.5

Cell: 4.100 4.100 6.208 Å, 109.28 109.28 90.00°
Fractional coordinates of all 5 atoms:
Ge1 0.378 0.378 0.757
Ge2 0.622 0.622 0.243
Tc1 0.250 0.750 0.500
Th1 0.000 0.000 0.000
Cu1 0.750 0.250 0.500

## TlCuTc2Ge (PBE)

Data for a relaxed structure of TlCuTc2Ge.

- M_tot (Bohr magnetons per cell) = 4.0
- total DFT energy (no corrections) (eV per cell) = -25.59
- formation enthalpy at 0 K (eV per atom) = 1.244
- crystal system = tetragonal
- SG = P4/mmm
- D(E_F) (states/eV/f.u.) = 4.9

Cell: 4.760 4.322 4.760 Å, 90.00 90.00 90.00°
Fractional coordinates of all 5 atoms:
Tc1 0.000 0.000 0.500
Tc2 0.500 0.000 0.000
Tl1 0.500 0.500 0.500
Cu1 0.000 0.000 0.000
Ge1 0.000 0.500 0.000